Computed, not measured: crystalline LiCuAgAu at its relaxed geometry at the PBE-GGA level of DFT.

Crystal system: tetragonal
Density in Mg/m³: 10.223
E_form in meV/atom: -209

```
4
Lattice="-2.085 2.085 3.506 2.085 -2.085 3.506 2.085 2.085 -3.506" Properties=species:S:1:pos:R:3 pbc="T T T"
Li 0.000 0.000 0.000
Cu 0.000 0.000 3.506
Ag 0.000 2.085 1.753
Au 2.085 0.000 1.753
```